An optimized crystal structure of Ce2Sc3Co2. Source: Alexandria, functional PBE-GGA.

Its space-group type is C2/m, No. 12. The calculated volume is 21.31 A^3/atom. As for the total energy: -6.65 eV per atom.

Lattice parameters (Å, degrees): 3.4275 5.8329 8.2731 72.09 78.04 72.91
With the nearest neighbours (Å) after each atom.
Positions (direct):
Ce (0.1754, 0.4656, 0.1835)  2 Co 2.51
Ce (0.8246, 0.5344, 0.8165)  2 Co 2.51
Sc (0.3814, 0.8122, 0.4249)  3 Co 2.62-2.83
Sc (0.5000, 0.0000, 0.0000)  4 Co 2.81
Sc (0.6186, 0.1878, 0.5751)  3 Co 2.62-2.83
Co (0.1822, 0.8748, 0.7607)  2 Ce 2.51, 4 Sc 2.62-2.81
Co (0.8178, 0.1252, 0.2393)  2 Ce 2.51, 4 Sc 2.62-2.81

An optimized crystal structure of CeSc5Co4. Source: Alexandria, functional PBE-GGA.

Its space-group type is P4/mmm, No. 123. The calculated volume is 17.46 A^3/atom. As for the total energy: -6.88 eV per atom.

Lattice parameters (Å, degrees): 3.1376 3.1376 17.7308 90.00 90.00 90.00
With the nearest neighbours (Å) after each atom.
Positions (direct):
Sc (0.5000, 0.5000, 0.3252)  8 Co 2.70-2.73
Sc (0.5000, 0.5000, 0.8481)  4 Co 2.66
Sc (0.5000, 0.5000, 0.6748)  8 Co 2.70-2.73
Sc (0.5000, 0.5000, 0.1519)  4 Co 2.66
Sc (0.5000, 0.5000, 0.5000)  8 Co 2.71
Ce (0.0000, 0.0000, 0.0000)  4 Ce 3.14, 8 Sc 3.49
Co (0.0000, 0.0000, 0.5877)  8 Sc 2.70-2.71
Co (0.0000, 0.0000, 0.4123)  8 Sc 2.70-2.71
Co (0.0000, 0.0000, 0.7649)  8 Sc 2.66-2.73
Co (0.0000, 0.0000, 0.2351)  8 Sc 2.66-2.73

An optimized crystal structure of CeSc3Co. Source: Alexandria, functional PBE-GGA.

Its space-group type is Pm-3m, No. 221. The calculated volume is 24.05 A^3/atom. As for the total energy: -6.45 eV per atom.

Lattice parameters (Å, degrees): 4.9355 4.9355 4.9355 90.00 90.00 90.00
With the nearest neighbours (Å) after each atom.
Positions (direct):
Sc (0.5000, 0.0000, 0.0000)  2 Co 2.47
Sc (0.0000, 0.5000, 0.0000)  2 Co 2.47
Sc (0.0000, 0.0000, 0.5000)  2 Co 2.47
Ce (0.5000, 0.5000, 0.5000)  12 Sc 3.49
Co (0.0000, 0.0000, 0.0000)  6 Sc 2.47